(1)
Entry from OQMD: crystalline NaHfTe3Au at its relaxed geometry (PBE).

a = 14.4730 Å, b = 4.1217 Å, c = 11.1774 Å
α = 90.00°, β = 90.00°, γ = 90.00°
Closest atoms and distances in Å follow each position.
Element x y z (fractional)
Na 0.2233 0.2500 0.0613  6 Te 3.28-3.30
Na 0.2767 0.7500 0.5613  6 Te 3.28-3.30
Na 0.7233 0.2500 0.4387  6 Te 3.28-3.30
Na 0.7767 0.7500 0.9387  6 Te 3.28-3.30
Hf 0.0092 0.2500 0.3155  6 Te 2.83-3.03
Hf 0.4908 0.7500 0.8155  6 Te 2.83-3.03
Hf 0.5092 0.2500 0.1845  6 Te 2.83-3.03
Hf 0.9908 0.7500 0.6845  6 Te 2.83-3.03
Te 0.0994 0.2500 0.5598  3 Hf 2.94-3.03, 2 Na 3.29
Te 0.1226 0.7500 0.8710  1 Hf 2.83, 3 Au 2.85-3.01
Te 0.1478 0.7500 0.2678  1 Au 2.75, 2 Hf 2.93
Te 0.3522 0.2500 0.7678  1 Au 2.75, 2 Hf 2.93
Te 0.3774 0.2500 0.3710  1 Hf 2.83, 3 Au 2.85-3.01
Te 0.4006 0.7500 0.0598  3 Hf 2.94-3.03, 2 Na 3.29
Te 0.5994 0.2500 0.9402  3 Hf 2.94-3.03, 2 Na 3.29
Te 0.6226 0.7500 0.6290  1 Hf 2.83, 3 Au 2.85-3.01
Te 0.6478 0.7500 0.2322  1 Au 2.75, 2 Hf 2.93
Te 0.8522 0.2500 0.7322  1 Au 2.75, 2 Hf 2.93
Te 0.8774 0.2500 0.1290  1 Hf 2.83, 3 Au 2.85-3.01
Te 0.9006 0.7500 0.4402  3 Hf 2.94-3.03, 2 Na 3.29
Au 0.0109 0.7500 0.0979  4 Te 2.75-3.01, 2 Au 3.02
Au 0.4891 0.2500 0.5979  4 Te 2.75-3.01, 2 Au 3.02
Au 0.5109 0.7500 0.4021  4 Te 2.75-3.01, 2 Au 3.02
Au 0.9891 0.2500 0.9021  4 Te 2.75-3.01, 2 Au 3.02

Results
As for the crystal system: orthorhombic.

***

(2)
Entry from OQMD: crystalline NaHfTe3Au at its relaxed geometry (PBE).

a = 7.6603 Å, b = 7.6603 Å, c = 11.0231 Å
α = 90.00°, β = 90.00°, γ = 149.14°
Closest atoms and distances in Å follow each position.
Element x y z (fractional)
Na 0.2238 0.7762 0.7500  6 Te 3.33-3.46, 2 Au 3.37
Na 0.7762 0.2238 0.2500  6 Te 3.33-3.46, 2 Au 3.37
Hf 0.0000 0.0000 0.0000  6 Te 2.92-3.04
Hf 0.0000 0.0000 0.5000  6 Te 2.92-3.04
Te 0.0870 0.9130 0.2500  2 Au 2.79, 2 Hf 3.04
Te 0.3614 0.6386 0.0396  1 Au 2.72, 2 Hf 2.92
Te 0.3614 0.6386 0.4604  1 Au 2.72, 2 Hf 2.92
Te 0.6386 0.3614 0.5396  1 Au 2.72, 2 Hf 2.92
Te 0.6386 0.3614 0.9604  1 Au 2.72, 2 Hf 2.92
Te 0.9130 0.0870 0.7500  2 Au 2.79, 2 Hf 3.04
Au 0.4578 0.5422 0.2500  4 Te 2.72-2.79
Au 0.5422 0.4578 0.7500  4 Te 2.72-2.79

Results
As for the crystal system: orthorhombic.

***

Result of the stability comparison: (2) is the least stable of them.